Material: PmDy4Pb5
Method: DFT, PBE
State: relaxed

Summary:
- density (g/cm3) = 9.6
- M_tot (μB per cell) = 0.000
- energy relative to the elements (eV per formula unit) = -3.4
- energy above the lowest structure with this stoichiometry (eV/atom) = 0.073

abc: 7.741 7.741 7.741
angles: 99.59 99.59 131.82
Fractional positions:
Pm1 0.000 0.000 0.000
Dy1 0.200 0.601 0.804
Dy2 0.396 0.200 0.599
Dy3 0.601 0.797 0.401
Dy4 0.797 0.396 0.196
Pb1 0.098 0.303 0.404
Pb2 0.303 0.899 0.205
Pb3 0.500 0.500 0.000
Pb4 0.694 0.098 0.795
Pb5 0.899 0.694 0.596